Computed, not measured: Mg2Ag6Bi after structural relaxation at the PBE level of DFT.

a = 8.425 Å, b = 8.425 Å, c = 3.145 Å
α = 100.43°, β = 100.43°, γ = 57.33°
Element x y z (fractional)
1 Mg 0.147 0.147 0.145
2 Mg 0.853 0.853 0.855
3 Ag 0.142 0.504 0.322
4 Ag 0.168 0.832 0.500
5 Ag 0.496 0.858 0.678
6 Ag 0.504 0.142 0.322
7 Ag 0.832 0.168 0.500
8 Ag 0.858 0.496 0.678
9 Bi 0.500 0.500 0.000

Space-group type ... C2/m
Total moment ... 0.0 Bohr magnetons per cell
E ... -2.699 eV per atom